Below is a relaxed NaReSe2N crystal, with properties calculated at the PBE level.

Results
- N(E_F) (states/eV per atom) = 0.536
- formation energy without anion corrections (meV/atom) = -61
- total magnetization (Bohr magnetons per cell) = 0.00
- ΔE to the lowest computed polymorph (eV per atom) = 0.000

Cell lengths 5.125, 5.125, 3.770 Å; angles 90.00, 90.00, 90.00 degrees
Space group P4/mmm (No. 123)
Unique sites:
Na: 0.000 0.000 0.000 [1 per cell]
Re: 0.500 0.500 0.500 [1 per cell]
Se: 0.000 0.500 0.500 [2 per cell]
N: 0.500 0.500 0.000 [1 per cell]